1.
A geometry-optimized LaPrGdSc structure, computed with PBE.

Cell: 5.685 5.685 5.685 Å, 60.00 60.00 60.00°
Fractional positions:
Pr 0.250 0.250 0.250
Sc 0.000 0.000 0.000
La 0.750 0.750 0.750
Gd 0.500 0.500 0.500

**E_tot**: -7.433 eV/atom
**ΔE_f**: 0.097 eV per atom

***

2.
A geometry-optimized SrLaPrGd structure, computed with PBE.

Cell: 6.029 6.029 6.029 Å, 60.00 60.00 60.00°
Fractional positions:
Sr 0.250 0.250 0.250
Gd 0.750 0.750 0.750
La 0.000 0.000 0.000
Pr 0.500 0.500 0.500

**E_tot**: -6.181 eV/atom
**ΔE_f**: 0.187 eV per atom